[1]
Computed, not measured: an optimized crystal structure of SrH16O10 at the GGA-PBEsol level of DFT.

Theoretical density   2.04 g cm⁻³
Distance to the lowest polymorph of the same formula   0.000 eV per atom
Energy   -5.130 eV/atom
Volume   7.96 Å³/atom

abc: 6.0956 6.3651 11.0779
angles: 88.48 90.91 89.34
Closest atoms and distances in Å follow each position.
Sites, in units of the cell vectors:
Sr  0.9969  0.0044  0.7490  8 O 2.45-2.69
Sr  0.0083  0.9666  0.2240  7 O 2.49-2.74, 1 H 2.70
H  0.7073  0.3995  0.6592  1 O 1.01
H  0.8837  0.3611  0.5590  1 O 0.99
H  0.2662  0.6452  0.6432  1 O 1.01
H  0.1571  0.7382  0.5217  1 O 0.99
H  0.3857  0.3063  0.6480  1 O 1.03
H  0.3047  0.1631  0.5369  1 O 0.99
H  0.5352  0.9859  0.6261  1 O 1.01
H  0.5960  0.7381  0.6445  1 O 1.02
H  0.2758  0.3775  0.1529  1 O 1.02
H  0.0251  0.4471  0.1262  1 O 1.02
H  0.7220  0.5887  0.1378  1 O 1.03
H  0.8633  0.6646  0.0177  1 O 1.04
H  0.5404  0.0179  0.1249  1 O 1.02
H  0.6047  0.2637  0.1469  1 O 1.03
H  0.4017  0.7070  0.1399  1 O 1.02
H  0.3323  0.8486  0.0178  1 O 1.04
H  0.3165  0.6182  0.3493  1 O 1.02
H  0.0620  0.5810  0.3783  1 O 1.02
H  0.7565  0.4053  0.3579  1 O 1.05
H  0.0038  0.2753  0.3861  1 O 0.98
H  0.6255  0.7337  0.3568  1 O 1.00
H  0.6827  0.8737  0.4722  1 O 1.03
H  0.4256  0.0332  0.3739  1 O 1.01
H  0.3924  0.2797  0.3501  1 O 1.03
H  0.9758  0.5351  0.8685  1 O 1.02
H  0.7239  0.6053  0.8509  1 O 1.03
H  0.2810  0.3900  0.8569  1 O 1.03
H  0.1435  0.3079  0.9726  1 O 1.00
H  0.4615  0.9688  0.8700  1 O 1.02
H  0.3991  0.7210  0.8536  1 O 1.03
H  0.6786  0.1359  0.9700  1 O 1.01
H  0.6042  0.2773  0.8532  1 O 1.02
O  0.4860  0.5183  0.6866  1 O 1.47, 4 H 1.56-1.62
O  0.5096  0.4813  0.1833  1 O 1.47, 4 H 1.56-1.63
O  0.5305  0.4809  0.3161  1 O 1.47, 3 H 1.52-1.61
O  0.4967  0.5062  0.8193  1 O 1.47, 4 H 1.54-1.62
O  0.8453  0.3161  0.6421  2 H 0.99-1.01
O  0.1411  0.7369  0.6108  2 H 0.99-1.01
O  0.3285  0.1601  0.6260  2 H 0.99-1.03
O  0.6583  0.8793  0.6166  2 H 1.01-1.02
O  0.1271  0.3187  0.1281  2 H 1.02
O  0.8682  0.6529  0.1112  2 H 1.03-1.04
O  0.6667  0.1210  0.1209  2 H 1.02-1.03
O  0.3424  0.8506  0.1115  2 H 1.02-1.04
O  0.1745  0.6969  0.3662  2 H 1.02
O  0.9081  0.3949  0.4036  2 H 0.98-1.05
O  0.6743  0.8780  0.3791  2 H 1.00-1.03
O  0.3071  0.1450  0.3718  2 H 1.01-1.03
O  0.8740  0.6615  0.8775  2 H 1.02-1.03
O  0.1357  0.3238  0.8823  2 H 1.00-1.03
O  0.3369  0.8645  0.8794  2 H 1.02-1.03
O  0.6630  0.1319  0.8793  2 H 1.01-1.02



[2]
Computed, not measured: an optimized crystal structure of FeAs2Cl at the GGA-PBEsol level of DFT.

Raw formation energy   184 meV per atom
Theoretical density   5.73 g cm⁻³
Distance to the lowest polymorph of the same formula   0.000 eV per atom
Energy   -5.112 eV/atom
Volume   17.47 Å³/atom

abc: 2.8997 2.8997 8.3101
angles: 90.00 90.00 90.00
Closest atoms and distances in Å follow each position.
Sites, in units of the cell vectors:
As  0.0000  0.0000  0.9437  4 Fe 2.55
As  0.5000  0.5000  0.2100  8 As 2.90-3.02
Fe  0.5000  0.5000  0.7607  4 Cl 2.51, 4 As 2.55
Cl  0.0000  0.0000  0.5856  4 Fe 2.51



[3]
Computed, not measured: an optimized crystal structure of Te2AsRh at the GGA-PBEsol level of DFT.

Raw formation energy   435 meV per atom
Theoretical density   8.61 g cm⁻³
Energy   -4.639 eV/atom
Volume   20.88 Å³/atom

abc: 4.0412 4.0412 5.8576
angles: 110.18 110.18 90.00
Closest atoms and distances in Å follow each position.
Sites, in units of the cell vectors:
As  0.5000  0.5000  0.0000  4 Te 2.86
Te  0.0000  0.0000  0.0000  4 As 2.86
Te  0.7500  0.2500  0.5000  4 Rh 2.86
Rh  0.2500  0.7500  0.5000  4 Te 2.86



[4]
Computed, not measured: an optimized crystal structure of TcPtBrN2 at the GGA-PBEsol level of DFT.

Raw formation energy   1556 meV per atom
Theoretical density   6.88 g cm⁻³
Energy   -5.875 eV/atom
Volume   19.35 Å³/atom

abc: 3.7038 3.7038 7.0536
angles: 90.00 90.00 90.00
Closest atoms and distances in Å follow each position.
Sites, in units of the cell vectors:
Br  0.0000  0.0000  0.5000  4 Tc 2.62
Tc  0.5000  0.5000  0.5000  4 Br 2.62
Pt  0.0000  0.0000  0.0000  4 N 1.85
N  0.0000  0.5000  0.0000  2 Pt 1.85
N  0.5000  0.0000  0.0000  2 Pt 1.85



[5]
Computed, not measured: an optimized crystal structure of Zn2AgHg at the GGA-PBEsol level of DFT.

Theoretical density   10.97 g cm⁻³
Energy   -1.738 eV/atom
Volume   16.62 Å³/atom

abc: 3.2747 3.6032 5.6349
angles: 90.00 90.00 90.00
Closest atoms and distances in Å follow each position.
Sites, in units of the cell vectors:
Zn  0.0000  0.0000  0.0105  1 Ag 2.62, 4 Zn 2.79, 4 Hg 2.81
Zn  0.5000  0.5000  0.2521  4 Ag 2.74, 2 Hg 2.77-2.87, 4 Zn 2.79
Hg  0.5000  0.5000  0.7613  6 Zn 2.77-2.87, 4 Ag 2.92
Ag  0.0000  0.0000  0.4761  5 Zn 2.62-2.74, 4 Hg 2.92



[6]
Computed, not measured: an optimized crystal structure of FeHg2Ir at the GGA-PBEsol level of DFT.

Theoretical density   16.49 g cm⁻³
Distance to the lowest polymorph of the same formula   0.249 eV per atom
Energy   -4.481 eV/atom
Volume   16.34 Å³/atom

abc: 4.5217 4.5217 4.5217
angles: 60.00 60.00 60.00
Closest atoms and distances in Å follow each position.
Sites, in units of the cell vectors:
Ir  0.5000  0.5000  0.5000  8 Hg 2.77
Hg  0.2500  0.2500  0.2500  4 Fe 2.77, 4 Ir 2.77
Hg  0.7500  0.7500  0.7500  4 Ir 2.77, 4 Fe 2.77
Fe  0.0000  0.0000  0.0000  8 Hg 2.77



[7]
Computed, not measured: an optimized crystal structure of CuBr at the GGA-PBEsol level of DFT.

Raw formation energy   -214 meV per atom
Theoretical density   5.69 g cm⁻³
Energy   -3.316 eV/atom
Volume   20.93 Å³/atom

abc: 3.7717 3.7717 5.8851
angles: 90.00 90.00 90.00
Closest atoms and distances in Å follow each position.
Sites, in units of the cell vectors:
Br  0.5000  0.0000  0.7269  4 Cu 2.48
Br  0.0000  0.5000  0.2731  4 Cu 2.48
Cu  0.0000  0.0000  0.0000  4 Br 2.48, 4 Cu 2.67
Cu  0.5000  0.5000  0.0000  4 Br 2.48, 4 Cu 2.67



[8]
Computed, not measured: an optimized crystal structure of Al2WSN at the GGA-PBEsol level of DFT.

Raw formation energy   1725 meV per atom
Theoretical density   5.44 g cm⁻³
Energy   -5.256 eV/atom
Volume   17.33 Å³/atom

abc: 4.2854 4.4966 4.4966
angles: 90.00 90.00 90.00
Closest atoms and distances in Å follow each position.
Sites, in units of the cell vectors:
S  0.0000  0.0000  0.0000  2 W 2.14, 4 Al 2.25
Al  0.0000  0.0000  0.5000  2 S 2.25
Al  0.0000  0.5000  0.0000  2 S 2.25
W  0.5000  0.0000  0.0000  2 S 2.14
N  0.5000  0.5000  0.5000  8 Al 3.11, 4 W 3.18